# TmHfMg2

A geometry-optimized TmHfMg2 structure (PBE, Alexandria).

Lattice parameters (Å, degrees): 3.5802 3.5802 7.3672 90.00 90.00 90.00
Closest atoms and distances in Å follow each position.
Element x y z (fractional)
Tm (0.0000, 0.0000, 0.0000)  8 Mg 3.21, 4 Tm 3.58
Hf (0.0000, 0.0000, 0.5000)  8 Mg 3.06
Mg (0.5000, 0.5000, 0.2678)  4 Hf 3.06, 4 Tm 3.21, 1 Mg 3.42
Mg (0.5000, 0.5000, 0.7322)  4 Hf 3.06, 4 Tm 3.21, 1 Mg 3.42

Summary:
The value obtained for the formation energy is 98 meV per atom. The space group is No. 123. The value obtained for the distance to the lowest polymorph of the same formula is 0.105 eV/atom.